Entry from Alexandria via LeMat-Bulk: crystalline HfMnSn2Pb at its relaxed geometry (PBEsol).

Calculated values
mass density: 7.6 g/cm3
SG: P4/mmm
energy of formation from the pure elements: 1393 meV/atom
magnetization: 3.0 Bohr magnetons per cell

Cell: 5.524 5.524 4.858 Å, 90.00 90.00 90.00°
Element x y z (fractional)
Hf: 0.000 0.000 0.000
Mn: 0.500 0.500 0.000
Sn: 0.000 0.500 0.500
Sn: 0.500 0.000 0.500
Pb: 0.500 0.500 0.500


Entry from Alexandria via LeMat-Bulk: crystalline HfMn3Pd at its relaxed geometry (PBEsol).

Calculated values
mass density: 7.6 g/cm3
SG: Pm-3m
energy of formation from the pure elements: 1150 meV/atom
magnetization: 10.8 Bohr magnetons per cell

Cell: 4.614 4.614 4.614 Å, 90.00 90.00 90.00°
Element x y z (fractional)
Hf: 0.000 0.000 0.000
Mn: 0.000 0.500 0.500
Mn: 0.500 0.000 0.500
Mn: 0.500 0.500 0.000
Pd: 0.500 0.500 0.500


Entry from Alexandria via LeMat-Bulk: crystalline HfMnPd3 at its relaxed geometry (PBEsol).

Calculated values
mass density: 8.5 g/cm3
SG: Pm-3m
energy of formation from the pure elements: 837 meV/atom
magnetization: 4.5 Bohr magnetons per cell

Cell: 4.767 4.767 4.767 Å, 90.00 90.00 90.00°
Element x y z (fractional)
Hf: 0.000 0.000 0.000
Mn: 0.500 0.500 0.500
Pd: 0.000 0.000 0.500
Pd: 0.000 0.500 0.000
Pd: 0.500 0.000 0.000


Entry from Alexandria via LeMat-Bulk: crystalline Hf3MnPt at its relaxed geometry (PBEsol).

Calculated values
mass density: 10.5 g/cm3
SG: Pm-3m
energy of formation from the pure elements: 650 meV/atom
magnetization: 4.0 Bohr magnetons per cell

Cell: 4.983 4.983 4.983 Å, 90.00 90.00 90.00°
Element x y z (fractional)
Hf: 0.000 0.000 0.500
Hf: 0.000 0.500 0.000
Hf: 0.500 0.000 0.000
Mn: 0.500 0.500 0.500
Pt: 0.000 0.000 0.000


Entry from Alexandria via LeMat-Bulk: crystalline YHfMnPt2 at its relaxed geometry (PBEsol).

Calculated values
mass density: 10.8 g/cm3
SG: P4/mmm
energy of formation from the pure elements: 224 meV/atom
magnetization: 2.9 Bohr magnetons per cell

Cell: 4.914 4.914 4.548 Å, 90.00 90.00 90.00°
Element x y z (fractional)
Y: 0.000 0.000 0.000
Hf: 0.500 0.500 0.500
Mn: 0.500 0.500 0.000
Pt: 0.000 0.500 0.500
Pt: 0.500 0.000 0.500


Entry from Alexandria via LeMat-Bulk: crystalline RbHfMn2 at its relaxed geometry (PBEsol).

Calculated values
mass density: 7.5 g/cm3
SG: Fm-3m
energy of formation from the pure elements: 1379 meV/atom
magnetization: 5.8 Bohr magnetons per cell

Cell: 4.882 4.882 4.882 Å, 60.00 60.00 60.00°
Element x y z (fractional)
Rb: 0.000 0.000 0.000
Hf: 0.500 0.500 0.500
Mn: 0.250 0.250 0.250
Mn: 0.750 0.750 0.750